Entry 1:
The following is a DFT calculation (meta-GGA SCAN) of a PBEsol-optimized structure of Ta2OsRu.

Total magnetic moment: 0.0 μB per formula unit
DOS at the Fermi energy: 3.02 states/eV/f.u.
E above lowest polymorph: 0.02 eV per formula unit
Formation energy: -148 kJ/mol of formula units

```
data_Ta2OsRu
_cell_length_a 3.0236
_cell_length_b 3.0236
_cell_length_c 6.8324
_cell_angle_alpha 90.00
_cell_angle_beta 90.00
_cell_angle_gamma 90.00
_space_group_name_H-M_alt 'P 1'
_space_group_IT_number 1
loop_
_space_group_symop_operation_xyz
'x,y,z'
loop_
_atom_site_label
_atom_site_fract_x
_atom_site_fract_y
_atom_site_fract_z
_atom_site_occupancy
Ta1 0.0000 0.0000 0.2486 1
Ta2 0.0000 0.0000 0.7514 1
Os1 0.5000 0.5000 0.5000 1
Ru1 0.5000 0.5000 0.0000 1
```

---

Entry 2:
The following is a DFT calculation (meta-GGA SCAN) of a PBEsol-optimized structure of ZrInPd2.

Total magnetic moment: 0.0 μB per formula unit
DOS at the Fermi energy: 2.39 states/eV/f.u.
Formation energy: -264 kJ/mol of formula units

```
data_ZrInPd2
_cell_length_a 3.3811
_cell_length_b 3.3811
_cell_length_c 6.2546
_cell_angle_alpha 90.00
_cell_angle_beta 90.00
_cell_angle_gamma 90.00
_space_group_name_H-M_alt 'P 1'
_space_group_IT_number 1
loop_
_space_group_symop_operation_xyz
'x,y,z'
loop_
_atom_site_label
_atom_site_fract_x
_atom_site_fract_y
_atom_site_fract_z
_atom_site_occupancy
Zr1 0.0000 0.0000 0.0000 1
In1 0.0000 0.0000 0.5000 1
Pd1 0.5000 0.5000 0.2329 1
Pd2 0.5000 0.5000 0.7671 1
```

---

Entry 3:
The following is a DFT calculation (meta-GGA SCAN) of a PBEsol-optimized structure of Ba5Ag.

Total magnetic moment: 0.6 μB per formula unit
DOS at the Fermi energy: 6.30 states/eV/f.u.
E above lowest polymorph: 0.00 eV per formula unit
Formation energy: -35 kJ/mol of formula units

```
data_Ba5Ag
_cell_length_a 4.1582
_cell_length_b 4.1582
_cell_length_c 17.0553
_cell_angle_alpha 90.00
_cell_angle_beta 90.00
_cell_angle_gamma 90.00
_space_group_name_H-M_alt 'P 1'
_space_group_IT_number 1
loop_
_space_group_symop_operation_xyz
'x,y,z'
loop_
_atom_site_label
_atom_site_fract_x
_atom_site_fract_y
_atom_site_fract_z
_atom_site_occupancy
Ba1 0.0000 0.0000 0.0000 1
Ba2 0.0000 0.0000 0.3894 1
Ba3 0.0000 0.0000 0.6106 1
Ba4 0.5000 0.5000 0.1924 1
Ba5 0.5000 0.5000 0.8076 1
Ag1 0.5000 0.5000 0.5000 1
```